Model w:
## NaTaSe3 (GGA-PBE)

Data for NaTaSe3 after structural relaxation.

Cell: 4.8860 4.8860 4.8860 Å, 90.00 90.00 90.00°
Element x y z (fractional)
Na: 0.0000 0.0000 0.0000
Se: 0.0000 0.5000 0.0000
Se: 0.0000 0.0000 0.5000
Se: 0.5000 0.0000 0.0000
Ta: 0.5000 0.5000 0.5000

The crystal system is cubic. The space-group type is Pm-3m.



Model x:
## NaTaSe3 (GGA-PBE)

Data for NaTaSe3 after structural relaxation.

Cell: 5.0858 5.0858 5.0858 Å, 90.00 90.00 90.00°
Element x y z (fractional)
Na: 0.5000 0.5000 0.5000
Se: 0.0000 0.5000 0.0000
Se: 0.0000 0.0000 0.5000
Se: 0.5000 0.0000 0.0000
Ta: 0.0000 0.0000 0.0000

The crystal system is cubic. The space-group type is Pm-3m.



What should be chosen as the least stable of them? Choose model w.



Model w:
## NaTaSe3 (GGA-PBE)

Data for NaTaSe3 after structural relaxation.

Cell: 6.6604 9.1046 9.1046 Å, 77.48 82.92 82.92°
Element x y z (fractional)
Na: 0.2500 0.8893 0.1107
Na: 0.7500 0.1107 0.8893
Na: 0.2500 0.2713 0.7287
Na: 0.7500 0.7287 0.2713
Ta: 0.0343 0.6780 0.8325
Ta: 0.4657 0.1675 0.3220
Ta: 0.9657 0.3220 0.1675
Ta: 0.5343 0.8325 0.6780
Se: 0.6442 0.7872 0.9372
Se: 0.8558 0.0628 0.2128
Se: 0.3558 0.2128 0.0628
Se: 0.1442 0.9372 0.7872
Se: 0.8902 0.4047 0.8928
Se: 0.6098 0.1072 0.5953
Se: 0.1098 0.5953 0.1072
Se: 0.3902 0.8928 0.4047
Se: 0.8599 0.7095 0.5804
Se: 0.6401 0.4196 0.2905
Se: 0.1401 0.2905 0.4196
Se: 0.3599 0.5804 0.7095

The crystal system is monoclinic. The space-group type is C2/c.



Model x:
## NaTaSe3 (GGA-PBE)

Data for NaTaSe3 after structural relaxation.

Cell: 6.4913 7.7364 10.9517 Å, 116.12 90.00 90.00°
Element x y z (fractional)
Na: 0.7113 0.9564 0.3461
Na: 0.2887 0.0436 0.6539
Na: 0.2113 0.5436 0.1539
Na: 0.7887 0.4564 0.8461
Ta: 0.2834 0.9297 0.9326
Ta: 0.7166 0.0703 0.0674
Ta: 0.7834 0.5703 0.5674
Ta: 0.2166 0.4297 0.4326
Se: 0.3455 0.1966 0.2059
Se: 0.6545 0.8034 0.7941
Se: 0.8455 0.3034 0.2941
Se: 0.1545 0.6966 0.7059
Se: 0.0005 0.8210 0.0532
Se: 0.9995 0.1790 0.9468
Se: 0.5005 0.6790 0.4468
Se: 0.4995 0.3210 0.5532
Se: 0.5058 0.7704 0.0597
Se: 0.4942 0.2296 0.9403
Se: 0.0058 0.7296 0.4403
Se: 0.9942 0.2704 0.5597

The crystal system is monoclinic. The space-group type is P2_1/c.



What should be chosen as the least stable of them? Choose model x.



Model w:
## NaTcSe3 (GGA-PBE)

Data for NaTcSe3 after structural relaxation.

Cell: 4.8956 4.8956 4.8956 Å, 90.00 90.00 90.00°
Element x y z (fractional)
Na: 0.0000 0.0000 0.0000
Tc: 0.5000 0.5000 0.5000
Se: 0.0000 0.5000 0.0000
Se: 0.0000 0.0000 0.5000
Se: 0.5000 0.0000 0.0000

The crystal system is cubic. The space-group type is Pm-3m.



Model x:
## NaTcSe3 (GGA-PBE)

Data for NaTcSe3 after structural relaxation.

Cell: 4.9854 4.9854 4.9854 Å, 90.00 90.00 90.00°
Each line ends with the local moment (μB).
Element x y z (fractional)
Na: 0.5000 0.5000 0.5000  0.01
Tc: 0.0000 0.0000 0.0000  1.09
Se: 0.0000 0.5000 0.0000  0.07
Se: 0.0000 0.0000 0.5000  0.01
Se: 0.5000 0.0000 0.0000  0.02

The crystal system is cubic. The space-group type is Pm-3m.



What should be chosen as the least stable of them? Choose model w.



Model w:
## NaTcSe2 (GGA-PBE)

Data for NaTcSe2 after structural relaxation.

Cell: 4.5687 4.5687 4.5687 Å, 60.00 60.00 60.00°
Element x y z (fractional)
Na: 0.0000 0.0000 0.0000
Tc: 0.5000 0.5000 0.5000
Se: 0.2500 0.2500 0.2500
Se: 0.7500 0.7500 0.7500

The crystal system is cubic. The space-group type is Fm-3m.



Model x:
## NaTcSe2 (GGA-PBE)

Data for NaTcSe2 after structural relaxation.

Cell: 9.4143 9.4143 9.4143 Å, 19.17 19.17 19.17°
Element x y z (fractional)
Na: 0.5000 0.5000 0.5000
Tc: 0.0000 0.0000 0.0000
Se: 0.9144 0.9144 0.9144
Se: 0.0856 0.0856 0.0856

The crystal system is trigonal. The space-group type is R-3m.



What should be chosen as the least stable of them? Choose model x.